Computed, not measured: a geometry-optimized Rb2AuO structure at the PBE-GGA level of DFT.

Output
D(E_F) (states/eV/f.u.): 0.4
E_form (uncorrected) (eV per atom): -0.552

Structure (POSCAR):
```
Rb2AuO
1.0
2.2702 -6.8262 0.0000
2.2702 6.8262 0.0000
0.0000 0.0000 7.6171
Rb Au O
4 2 2
Cartesian
2.2702 4.7999 3.8457 Rb
2.2702 4.7999 7.5800 Rb
2.2702 -4.7999 0.0371 Rb
2.2702 -4.7999 3.7714 Rb
2.2702 0.3577 5.7128 Au
2.2702 -0.3577 1.9043 Au
2.2702 2.4977 5.7128 O
2.2702 -2.4977 1.9043 O
```

Computed, not measured: a geometry-optimized Hf5CdOs4 structure at the PBE-GGA level of DFT.

Output
D(E_F) (states/eV/f.u.): 4.7
VASP energy (eV/atom): -10.11

Structure (POSCAR):
```
Hf5CdOs4
1.0
3.2513 0.0000 0.0000
0.0000 3.2513 0.0000
0.0000 0.0000 17.0751
Hf Cd Os
5 1 4
Cartesian
0.0000 0.0000 0.0000 Hf
0.0000 0.0000 3.2616 Hf
0.0000 0.0000 6.5218 Hf
0.0000 0.0000 10.5532 Hf
0.0000 0.0000 13.8135 Hf
1.6257 1.6257 8.5375 Cd
1.6257 1.6257 1.6343 Os
1.6257 1.6257 4.9249 Os
1.6257 1.6257 12.1502 Os
1.6257 1.6257 15.4407 Os
```

Computed, not measured: a geometry-optimized Pu2Tc2P3 structure at the PBE-GGA level of DFT.

Output
D(E_F) (states/eV/f.u.): 21.0
VASP energy (eV/atom): -10.12

Structure (POSCAR):
```
Pu2Tc2P3
1.0
7.3146 -1.9674 0.0000
7.3146 1.9674 0.0000
-6.4792 0.0000 9.0306
Pu Tc P
4 4 6
Cartesian
-1.3943 0.0000 4.2095 Pu
-2.0449 0.0000 7.5287 Pu
10.1950 0.0000 1.5018 Pu
9.5444 0.0000 4.8210 Pu
0.2301 0.0000 1.4393 Tc
5.4998 0.0000 1.5886 Tc
2.6502 0.0000 7.4419 Tc
7.9200 0.0000 7.5912 Tc
-4.6239 0.0000 8.7313 P
0.5989 0.0000 6.2300 P
3.8902 0.0000 3.2989 P
4.2598 0.0000 5.7317 P
7.5511 0.0000 2.8005 P
12.7740 0.0000 0.2993 P
```

Computed, not measured: a geometry-optimized SmHRh structure at the PBE-GGA level of DFT.

Output
D(E_F) (states/eV/f.u.): 1.6
Distance to the lowest polymorph of the same formula (eV per atom): 0.265

Structure (POSCAR):
```
SmHRh
1.0
-1.9631 1.9631 3.5049
1.9631 -1.9631 3.5049
1.9631 1.9631 -3.5049
Sm H Rh
1 1 1
Cartesian
0.0000 0.0000 0.0000 Sm
0.0000 0.0000 4.6824 H
0.0000 0.0000 3.0519 Rh
```

Computed, not measured: a geometry-optimized AcNdGe2 structure at the PBE-GGA level of DFT.

Output
D(E_F) (states/eV/f.u.): 5.0
VASP energy (eV/atom): -5.12

Structure (POSCAR):
```
AcNdGe2
1.0
2.2447 1.2960 7.1305
-2.2447 1.2960 7.1305
0.0000 -2.5919 7.1305
Ac Nd Ge
1 1 2
Cartesian
0.0000 0.0000 0.0000 Ac
0.0000 0.0000 10.6957 Nd
0.0000 0.0000 5.1648 Ge
0.0000 0.0000 16.2267 Ge
```

Computed, not measured: a geometry-optimized CaTiPO5 structure at the PBE-GGA level of DFT.

Output
D(E_F) (states/eV/f.u.): 1.7
E_form (uncorrected) (eV per atom): -2.759

Structure (POSCAR):
```
CaTiPO5
1.0
3.3495 -4.4441 0.0000
3.3495 4.4441 0.0000
-2.6939 0.0000 6.4964
Ca Ti P O
2 2 2 10
Cartesian
1.3291 2.9462 4.8723 Ca
2.6760 -2.9462 1.6241 Ca
3.3495 0.0000 0.0000 Ti
2.0026 0.0000 3.2482 Ti
2.6760 2.8667 1.6241 P
1.3291 -2.8667 4.8723 P
-1.3359 0.6387 5.9066 O
1.6384 1.9720 2.3786 O
0.0111 -0.6387 2.6584 O
3.7137 1.9720 0.8696 O
1.3291 0.6995 4.8723 O
2.6760 -0.6995 1.6241 O
0.2914 -1.9720 5.6268 O
3.9940 0.6387 3.8380 O
2.3667 -1.9720 4.1178 O
5.3410 -0.6387 0.5898 O
```

Which of these has the lowest D(E_F)?
Rb2AuO